# 1
Computed, not measured: a relaxed structure of Zr3ZnCo2 at the PBE level of DFT.

## Properties
Formation energy from the elements, meV per atom: -266.0
Magnetic moment, μB per formula unit: 0.9
SG: P4/mmm, No. 123

Structure (POSCAR):
```
Zr3ZnCo2
1.0
-2.663 -1.854 -0.163
1.571 -2.391 1.538
-2.971 3.518 8.503
Zr Co Zn
3 2 1
Direct
0.000 0.000 0.680 Zr
0.000 0.000 0.320 Zr
0.000 0.000 0.000 Zr
0.500 0.500 0.161 Co
0.500 0.500 0.839 Co
0.500 0.500 0.500 Zn
```



# 2
Computed, not measured: a relaxed structure of PaIOF at the PBE level of DFT.

## Properties
Magnetic moment, μB per formula unit: 1.0
SG: R3m, No. 160

Structure (POSCAR):
```
PaIOF
1.0
3.887 0.000 0.000
1.943 3.366 0.000
1.943 1.122 6.921
O I F Pa
1 1 1 1
Direct
0.550 0.550 0.349 O
0.334 0.334 0.997 I
0.159 0.159 0.523 F
0.886 0.886 0.343 Pa
```



| no. | total energy (eV/atom) |
| --- | --- |
| 1 | -7.121 |
| 2 | -7.156 |